# GGA-PBE Nd5PaSb6, relaxed
# Crystal system: monoclinic
# Formation energy without anion corrections (eV/atom): -1.076
# Space-group type: C2/m, No. 12
# Volume (Å³/cell): 384.6
data_Nd5PaSb6
_space_group_name_H-M_alt 'P 1'
_space_group_IT_number 1
_space_group_name_Hall 'P 1'
_cell_length_a 7.7820
_cell_length_b 7.7820
_cell_length_c 7.7772
_cell_angle_alpha 99.59
_cell_angle_beta 99.59
_cell_angle_gamma 120.00
loop_
_atom_site_label
_atom_site_fract_x
_atom_site_fract_y
_atom_site_fract_z
Sb1 0.4058 0.0812 0.2445
Sb2 0.9188 0.5942 0.7555
Sb3 0.2416 0.2416 0.7540
Sb4 0.7584 0.7584 0.2460
Sb5 0.0812 0.4058 0.2445
Sb6 0.5942 0.9188 0.7555
Pa1 0.0000 0.0000 0.0000
Nd1 0.8300 0.1700 0.5000
Nd2 0.6657 0.3343 0.0000
Nd3 0.5000 0.5000 0.5000
Nd4 0.3343 0.6657 0.0000
Nd5 0.1700 0.8300 0.5000

***

# GGA-PBE NpUCrNi, relaxed
# Crystal system: cubic
# ΔH_f (0 K) (eV/f.u.): -0.06
# Space-group type: F-43m, No. 216
# Volume (Å³/cell): 62.2
data_NpUCrNi
_space_group_name_H-M_alt 'P 1'
_space_group_IT_number 1
_space_group_name_Hall 'P 1'
_cell_length_a 4.4473
_cell_length_b 4.4473
_cell_length_c 4.4473
_cell_angle_alpha 60.00
_cell_angle_beta 60.00
_cell_angle_gamma 60.00
loop_
_atom_site_label
_atom_site_fract_x
_atom_site_fract_y
_atom_site_fract_z
Np1 0.5000 0.5000 0.5000
Ni1 0.7500 0.7500 0.7500
U1 0.2500 0.2500 0.2500
Cr1 0.0000 0.0000 0.0000

***

# GGA-PBE MgMn2Ir2, relaxed
# ΔE to the lowest computed polymorph (meV per atom): 0.0
# Crystal system: tetragonal
# ΔH_f (0 K) (eV/f.u.): -0.41
# Space-group type: P4/mbm, No. 127
# Volume (Å³/cell): 153.0
data_MgMn2Ir2
_space_group_name_H-M_alt 'P 1'
_space_group_IT_number 1
_space_group_name_Hall 'P 1'
_cell_length_a 7.3410
_cell_length_b 7.3410
_cell_length_c 2.8382
_cell_angle_alpha 90.00
_cell_angle_beta 90.00
_cell_angle_gamma 90.00
loop_
_atom_site_label
_atom_site_fract_x
_atom_site_fract_y
_atom_site_fract_z
Mg1 0.0000 0.0000 0.0000
Mg2 0.5000 0.5000 0.0000
Ir1 0.3619 0.8619 0.0000
Ir2 0.8619 0.6381 0.0000
Ir3 0.6381 0.1381 0.0000
Ir4 0.1381 0.3619 0.0000
Mn1 0.1586 0.6586 0.5000
Mn2 0.6586 0.8414 0.5000
Mn3 0.8414 0.3414 0.5000
Mn4 0.3414 0.1586 0.5000

***

# GGA-PBE Zn2SbIr, relaxed
# ΔE to the lowest computed polymorph (meV per atom): 234.9
# Crystal system: tetragonal
# Formation energy without anion corrections (eV/atom): 0.211
# Space-group type: P4/mmm, No. 123
# Volume (Å³/cell): 67.8
data_Zn2SbIr
_space_group_name_H-M_alt 'P 1'
_space_group_IT_number 1
_space_group_name_Hall 'P 1'
_cell_length_a 4.5953
_cell_length_b 4.5953
_cell_length_c 3.2104
_cell_angle_alpha 90.00
_cell_angle_beta 90.00
_cell_angle_gamma 90.00
loop_
_atom_site_label
_atom_site_fract_x
_atom_site_fract_y
_atom_site_fract_z
Ir1 0.5000 0.0000 0.5000
Sb1 0.0000 0.5000 0.5000
Zn1 0.0000 0.0000 0.0000
Zn2 0.5000 0.5000 0.0000

***

# GGA-PBE CuReTc2, relaxed
# ΔE to the lowest computed polymorph (meV per atom): 34.9
# Crystal system: monoclinic
# ΔH_f (0 K) (eV/f.u.): 0.72
# Space-group type: Pm, No. 6
# Volume (Å³/cell): 56.5
data_CuReTc2
_space_group_name_H-M_alt 'P 1'
_space_group_IT_number 1
_space_group_name_Hall 'P 1'
_cell_length_a 3.9259
_cell_length_b 2.7075
_cell_length_c 5.9630
_cell_angle_alpha 63.03
_cell_angle_beta 90.00
_cell_angle_gamma 90.00
loop_
_atom_site_label
_atom_site_fract_x
_atom_site_fract_y
_atom_site_fract_z
Cu1 0.0000 0.5001 0.4997
Re1 0.5000 0.7483 0.7458
Tc1 0.0000 0.0010 0.0001
Tc2 0.5000 0.2506 0.2544

***

# GGA-PBE Zr2ScZn, relaxed
# Crystal system: trigonal
# ΔH_f (0 K) (eV/f.u.): -0.06
# Space-group type: R3m, No. 160
# Volume (Å³/cell): 87.9
data_Zr2ScZn
_space_group_name_H-M_alt 'P 1'
_space_group_IT_number 1
_space_group_name_Hall 'P 1'
_cell_length_a 3.2499
_cell_length_b 3.2499
_cell_length_c 9.7926
_cell_angle_alpha 80.45
_cell_angle_beta 80.45
_cell_angle_gamma 60.00
loop_
_atom_site_label
_atom_site_fract_x
_atom_site_fract_y
_atom_site_fract_z
Zr1 0.0778 0.0778 0.7665
Zr2 0.2557 0.2557 0.2328
Sc1 0.4999 0.4999 0.5004
Zn1 0.6665 0.6665 0.0004

***

# GGA-PBE CsMg2Sn4, relaxed
# Crystal system: orthorhombic
# ΔH_f (0 K) (eV/f.u.): -0.98
# Space-group type: Immm, No. 71
# Volume (Å³/cell): 234.7
data_CsMg2Sn4
_space_group_name_H-M_alt 'P 1'
_space_group_IT_number 1
_space_group_name_Hall 'P 1'
_cell_length_a 4.4400
_cell_length_b 4.5547
_cell_length_c 12.0338
_cell_angle_alpha 100.91
_cell_angle_beta 100.63
_cell_angle_gamma 90.00
loop_
_atom_site_label
_atom_site_fract_x
_atom_site_fract_y
_atom_site_fract_z
Cs1 0.5000 0.0000 0.0000
Mg1 0.8114 0.8114 0.6227
Mg2 0.1886 0.1886 0.3773
Sn1 0.6860 0.6860 0.3720
Sn2 0.3140 0.3140 0.6280
Sn3 0.1041 0.6041 0.2081
Sn4 0.8959 0.3959 0.7919

***

# GGA-PBE ScSe3F, relaxed
# ΔE to the lowest computed polymorph (meV per atom): 67.6
# Crystal system: cubic
# Formation energy without anion corrections (eV/atom): -0.280
# Space-group type: Pm-3m, No. 221
# Volume (Å³/cell): 100.2
data_ScSe3F
_space_group_name_H-M_alt 'P 1'
_space_group_IT_number 1
_space_group_name_Hall 'P 1'
_cell_length_a 4.6447
_cell_length_b 4.6447
_cell_length_c 4.6447
_cell_angle_alpha 90.00
_cell_angle_beta 90.00
_cell_angle_gamma 90.00
loop_
_atom_site_label
_atom_site_fract_x
_atom_site_fract_y
_atom_site_fract_z
Sc1 0.5000 0.5000 0.5000
Se1 0.0000 0.5000 0.0000
Se2 0.0000 0.0000 0.5000
Se3 0.5000 0.0000 0.0000
F1 0.0000 0.0000 0.0000

***

# GGA-PBE YCrTc2Ni, relaxed
# Crystal system: tetragonal
# ΔH_f (0 K) (eV/f.u.): 4.74
# Space-group type: P4/mmm, No. 123
# Volume (Å³/cell): 90.0
data_YCrTc2Ni
_space_group_name_H-M_alt 'P 1'
_space_group_IT_number 1
_space_group_name_Hall 'P 1'
_cell_length_a 4.6143
_cell_length_b 4.2254
_cell_length_c 4.6143
_cell_angle_alpha 90.00
_cell_angle_beta 90.00
_cell_angle_gamma 90.00
loop_
_atom_site_label
_atom_site_fract_x
_atom_site_fract_y
_atom_site_fract_z
Y1 0.5000 0.5000 0.5000
Ni1 0.0000 0.0000 0.0000
Tc1 0.0000 0.0000 0.5000
Tc2 0.5000 0.0000 0.0000
Cr1 0.0000 0.5000 0.0000

***

# GGA-PBE NaGdDySn, relaxed
# Crystal system: cubic
# ΔH_f (0 K) (eV/f.u.): -1.10
# Space-group type: F-43m, No. 216
# Volume (Å³/cell): 109.2
data_NaGdDySn
_space_group_name_H-M_alt 'P 1'
_space_group_IT_number 1
_space_group_name_Hall 'P 1'
_cell_length_a 5.3648
_cell_length_b 5.3648
_cell_length_c 5.3648
_cell_angle_alpha 60.00
_cell_angle_beta 60.00
_cell_angle_gamma 60.00
loop_
_atom_site_label
_atom_site_fract_x
_atom_site_fract_y
_atom_site_fract_z
Na1 0.2500 0.2500 0.2500
Gd1 0.0000 0.0000 0.0000
Sn1 0.7500 0.7500 0.7500
Dy1 0.5000 0.5000 0.5000

***

# GGA-PBE AcNd2SmEr5, relaxed
# Crystal system: tetragonal
# ΔH_f (0 K) (eV/f.u.): 2.25
# Space-group type: I4/mcm, No. 140
# Volume (Å³/cell): 606.8
data_AcNd2SmEr5
_space_group_name_H-M_alt 'P 1'
_space_group_IT_number 1
_space_group_name_Hall 'P 1'
_cell_length_a 8.8100
_cell_length_b 8.8100
_cell_length_c 9.9962
_cell_angle_alpha 116.15
_cell_angle_beta 116.15
_cell_angle_gamma 90.00
loop_
_atom_site_label
_atom_site_fract_x
_atom_site_fract_y
_atom_site_fract_z
Ac1 0.2500 0.2500 0.5000
Ac2 0.7500 0.7500 0.5000
Nd1 0.1170 0.3830 0.0000
Nd2 0.6170 0.1170 0.0000
Nd3 0.3830 0.8830 0.0000
Nd4 0.8830 0.6170 0.0000
Sm1 0.2500 0.7500 0.5000
Sm2 0.7500 0.2500 0.5000
Er1 0.9259 0.4259 0.2658
Er2 0.6601 0.1601 0.7342
Er3 0.0741 0.5741 0.7342
Er4 0.1601 0.0741 0.7342
Er5 0.5741 0.6601 0.7342
Er6 0.8399 0.9259 0.2658
Er7 0.4259 0.3399 0.2658
Er8 0.3399 0.8399 0.2658
Er9 0.5000 0.5000 0.0000
Er10 0.0000 0.0000 0.0000

***

# GGA-PBE Pm5Si2Br5, relaxed
# Crystal system: monoclinic
# Formation energy without anion corrections (eV/atom): -1.007
# Space-group type: C2/m, No. 12
# Volume (Å³/cell): 370.3
data_Pm5Si2Br5
_space_group_name_H-M_alt 'P 1'
_space_group_IT_number 1
_space_group_name_Hall 'P 1'
_cell_length_a 4.2152
_cell_length_b 7.0759
_cell_length_c 13.4420
_cell_angle_alpha 103.96
_cell_angle_beta 90.00
_cell_angle_gamma 107.33
loop_
_atom_site_label
_atom_site_fract_x
_atom_site_fract_y
_atom_site_fract_z
Pm1 0.0967 0.1935 0.4025
Pm2 0.6581 0.3162 0.8217
Pm3 0.3419 0.6838 0.1783
Pm4 0.9033 0.8065 0.5975
Pm5 0.0000 0.0000 0.0000
Si1 0.0181 0.0363 0.7956
Si2 0.9819 0.9637 0.2044
Br1 0.5000 0.0000 0.5000
Br2 0.6668 0.3335 0.0513
Br3 0.7484 0.4968 0.3699
Br4 0.2516 0.5032 0.6301
Br5 0.3332 0.6665 0.9487

***

# GGA-PBE GaSi2B, relaxed
# ΔE to the lowest computed polymorph (meV per atom): 702.2
# Crystal system: cubic
# Formation energy without anion corrections (eV/atom): 1.000
# Space-group type: Fm-3m, No. 225
# Volume (Å³/cell): 55.8
data_GaSi2B
_space_group_name_H-M_alt 'P 1'
_space_group_IT_number 1
_space_group_name_Hall 'P 1'
_cell_length_a 4.2885
_cell_length_b 4.2885
_cell_length_c 4.2885
_cell_angle_alpha 60.00
_cell_angle_beta 60.00
_cell_angle_gamma 60.00
loop_
_atom_site_label
_atom_site_fract_x
_atom_site_fract_y
_atom_site_fract_z
Si1 0.2500 0.2500 0.2500
Si2 0.7500 0.7500 0.7500
B1 0.0000 0.0000 0.0000
Ga1 0.5000 0.5000 0.5000

***

# GGA-PBE Ce5SbP4, relaxed
# Crystal system: orthorhombic
# Formation energy without anion corrections (eV/atom): -1.362
# Space-group type: Immm, No. 71
# Volume (Å³/cell): 257.4
data_Ce5SbP4
_space_group_name_H-M_alt 'P 1'
_space_group_IT_number 1
_space_group_name_Hall 'P 1'
_cell_length_a 4.1474
_cell_length_b 5.9286
_cell_length_c 11.0740
_cell_angle_alpha 105.53
_cell_angle_beta 100.79
_cell_angle_gamma 90.00
loop_
_atom_site_label
_atom_site_fract_x
_atom_site_fract_y
_atom_site_fract_z
Ce1 0.6105 0.1105 0.2210
Ce2 0.8012 0.3012 0.6024
Ce3 0.1988 0.6988 0.3976
Ce4 0.0000 0.5000 0.0000
Ce5 0.3895 0.8895 0.7790
Sb1 0.0000 0.0000 0.0000
P1 0.3999 0.3999 0.7998
P2 0.7958 0.7958 0.5916
P3 0.2042 0.2042 0.4084
P4 0.6001 0.6001 0.2002

***

# GGA-PBE TiAgBi2, relaxed
# Crystal system: cubic
# ΔH_f (0 K) (eV/f.u.): 0.90
# Space-group type: Fm-3m, No. 225
# Volume (Å³/cell): 96.0
data_TiAgBi2
_space_group_name_H-M_alt 'P 1'
_space_group_IT_number 1
_space_group_name_Hall 'P 1'
_cell_length_a 5.1391
_cell_length_b 5.1391
_cell_length_c 5.1391
_cell_angle_alpha 60.00
_cell_angle_beta 60.00
_cell_angle_gamma 60.00
loop_
_atom_site_label
_atom_site_fract_x
_atom_site_fract_y
_atom_site_fract_z
Bi1 0.2500 0.2500 0.2500
Bi2 0.7500 0.7500 0.7500
Ag1 0.5000 0.5000 0.5000
Ti1 0.0000 0.0000 0.0000

***

# GGA-PBE AlTcAu2, relaxed
# Crystal system: tetragonal
# ΔH_f (0 K) (eV/f.u.): 0.43
# Space-group type: I-4m2, No. 119
# Volume (Å³/cell): 65.4
data_AlTcAu2
_space_group_name_H-M_alt 'P 1'
_space_group_IT_number 1
_space_group_name_Hall 'P 1'
_cell_length_a 4.8239
_cell_length_b 4.8239
_cell_length_c 4.8239
_cell_angle_alpha 129.35
_cell_angle_beta 129.35
_cell_angle_gamma 74.46
loop_
_atom_site_label
_atom_site_fract_x
_atom_site_fract_y
_atom_site_fract_z
Au1 0.0000 0.0000 0.0000
Au2 0.2500 0.7500 0.5000
Tc1 0.5000 0.5000 0.0000
Al1 0.7500 0.2500 0.5000

***

# GGA-PBE LiPmDyTc, relaxed
# Crystal system: cubic
# ΔH_f (0 K) (eV/f.u.): 0.05
# Space-group type: F-43m, No. 216
# Volume (Å³/cell): 87.6
data_LiPmDyTc
_space_group_name_H-M_alt 'P 1'
_space_group_IT_number 1
_space_group_name_Hall 'P 1'
_cell_length_a 4.9845
_cell_length_b 4.9845
_cell_length_c 4.9845
_cell_angle_alpha 60.00
_cell_angle_beta 60.00
_cell_angle_gamma 60.00
loop_
_atom_site_label
_atom_site_fract_x
_atom_site_fract_y
_atom_site_fract_z
Pm1 0.2500 0.2500 0.2500
Li1 0.0000 0.0000 0.0000
Tc1 0.5000 0.5000 0.5000
Dy1 0.7500 0.7500 0.7500

***

# GGA-PBE CdB, relaxed
# ΔE to the lowest computed polymorph (meV per atom): 321.0
# Crystal system: orthorhombic
# ΔH_f (0 K) (eV/f.u.): 1.37
# Space-group type: Imm2, No. 44
# Volume (Å³/cell): 211.3
data_CdB
_space_group_name_H-M_alt 'P 1'
_space_group_IT_number 1
_space_group_name_Hall 'P 1'
_cell_length_a 11.8942
_cell_length_b 4.1950
_cell_length_c 4.2346
_cell_angle_alpha 90.00
_cell_angle_beta 90.00
_cell_angle_gamma 90.00
loop_
_atom_site_label
_atom_site_fract_x
_atom_site_fract_y
_atom_site_fract_z
Cd1 0.7757 0.0000 0.1500
Cd2 0.2243 0.0000 0.1500
Cd3 0.2757 0.5000 0.6500
Cd4 0.7243 0.5000 0.6500
Cd5 0.0000 0.5000 0.7893
Cd6 0.5000 0.0000 0.2893
B1 0.8672 0.0000 0.6484
B2 0.1328 0.0000 0.6484
B3 0.3672 0.5000 0.1484
B4 0.6328 0.5000 0.1484
B5 0.0000 0.0000 0.6159
B6 0.5000 0.5000 0.1159

***

# GGA-PBE HfZr3Co, relaxed
# ΔE to the lowest computed polymorph (meV per atom): 1612.8
# Crystal system: cubic
# ΔH_f (0 K) (eV/f.u.): 7.82
# Space-group type: Pm-3m, No. 221
# Volume (Å³/cell): 131.0
data_HfZr3Co
_space_group_name_H-M_alt 'P 1'
_space_group_IT_number 1
_space_group_name_Hall 'P 1'
_cell_length_a 5.0787
_cell_length_b 5.0787
_cell_length_c 5.0787
_cell_angle_alpha 90.00
_cell_angle_beta 90.00
_cell_angle_gamma 90.00
loop_
_atom_site_label
_atom_site_fract_x
_atom_site_fract_y
_atom_site_fract_z
Co1 0.5000 0.5000 0.5000
Hf1 0.0000 0.0000 0.0000
Zr1 0.0000 0.5000 0.0000
Zr2 0.0000 0.0000 0.5000
Zr3 0.5000 0.0000 0.0000

***

# GGA-PBE TlCr2Pb, relaxed
# ΔE to the lowest computed polymorph (meV per atom): 279.9
# Crystal system: monoclinic
# ΔH_f (0 K) (eV/f.u.): 2.79
# Space-group type: C2/m, No. 12
# Volume (Å³/cell): 87.8
data_TlCr2Pb
_space_group_name_H-M_alt 'P 1'
_space_group_IT_number 1
_space_group_name_Hall 'P 1'
_cell_length_a 4.9016
_cell_length_b 4.9016
_cell_length_c 5.7619
_cell_angle_alpha 78.33
_cell_angle_beta 78.33
_cell_angle_gamma 40.51
loop_
_atom_site_label
_atom_site_fract_x
_atom_site_fract_y
_atom_site_fract_z
Cr1 0.9995 0.9995 0.0057
Cr2 0.5005 0.5005 0.4943
Pb1 0.7500 0.7500 0.7500
Tl1 0.2500 0.2500 0.2500